(1)
Entry from Alexandria via LeMat-Bulk: a relaxed structure of LiAlCrO4 (PBE with a Hubbard U).

Cell lengths 2.894, 9.414, 10.048 Å; angles 90.00, 90.00, 90.00 degrees
Element x y z (fractional)
Li: 0.021 0.160 0.131
Li: 0.479 0.840 0.631
Li: 0.521 0.340 0.869
Li: 0.979 0.660 0.369
Al: 0.013 0.249 0.626
Al: 0.487 0.751 0.126
Al: 0.513 0.251 0.374
Al: 0.987 0.749 0.874
Cr: 0.023 0.974 0.351
Cr: 0.477 0.026 0.851
Cr: 0.523 0.526 0.649
Cr: 0.977 0.474 0.149
O: 0.013 0.113 0.943
O: 0.013 0.147 0.463
O: 0.013 0.336 0.285
O: 0.022 0.412 0.742
O: 0.478 0.588 0.242
O: 0.487 0.664 0.785
O: 0.487 0.853 0.963
O: 0.487 0.887 0.443
O: 0.513 0.164 0.715
O: 0.513 0.353 0.537
O: 0.513 0.387 0.057
O: 0.522 0.088 0.258
O: 0.978 0.912 0.758
O: 0.987 0.613 0.557
O: 0.987 0.647 0.037
O: 0.987 0.836 0.215

Values from the calculation:
The calculation puts the electronic total energy at -6.926 eV/atom. As for the space group: P2_12_12_1. Its crystal system is orthorhombic.


(2)
Entry from Alexandria via LeMat-Bulk: a relaxed structure of Li3AlCr3O8 (PBE with a Hubbard U).

Cell lengths 5.867, 5.867, 5.929 Å; angles 119.63, 119.63, 59.30 degrees
Element x y z (fractional)
Li: 0.000 0.000 0.000
Li: 0.000 0.500 0.000
Li: 0.500 0.000 0.000
Al: 0.000 0.000 0.500
Cr: 0.000 0.500 0.500
Cr: 0.500 0.000 0.500
Cr: 0.500 0.500 0.500
O: 0.224 0.224 0.708
O: 0.240 0.743 0.711
O: 0.257 0.760 0.289
O: 0.261 0.261 0.275
O: 0.739 0.739 0.725
O: 0.743 0.240 0.711
O: 0.760 0.257 0.289
O: 0.776 0.776 0.292

Values from the calculation:
The calculation puts the electronic total energy at -6.887 eV/atom. As for the space group: C2/m. Its crystal system is monoclinic.


(3)
Entry from Alexandria via LeMat-Bulk: a relaxed structure of Li2AlCr2SbO8 (PBE with a Hubbard U).

Cell lengths 5.909, 5.909, 9.604 Å; angles 90.28, 90.28, 59.58 degrees
Element x y z (fractional)
Li: 0.000 0.000 0.000
Li: 0.004 0.004 0.509
Li: 0.339 0.339 0.084
Li: 0.670 0.670 0.591
Al: 0.175 0.662 0.779
Al: 0.662 0.175 0.779
Cr: 0.174 0.174 0.780
Cr: 0.343 0.835 0.280
Cr: 0.835 0.343 0.280
Cr: 0.835 0.835 0.279
Sb: 0.339 0.339 0.509
Sb: 0.669 0.669 0.003
O: 0.003 0.003 0.185
O: 0.041 0.492 0.653
O: 0.169 0.169 0.402
O: 0.170 0.676 0.400
O: 0.330 0.831 0.894
O: 0.345 0.345 0.879
O: 0.486 0.486 0.655
O: 0.492 0.041 0.653
O: 0.519 0.970 0.148
O: 0.522 0.522 0.149
O: 0.672 0.672 0.386
O: 0.676 0.170 0.400
O: 0.831 0.330 0.894
O: 0.836 0.836 0.891
O: 0.970 0.519 0.148
O: 0.995 0.995 0.697

Values from the calculation:
The calculation puts the electronic total energy at -6.849 eV/atom. As for the space group: Cm. Its crystal system is monoclinic. As for the density of states at the Fermi level: 0.000 states/eV/atom.


What are the density values for these records? In order: 3.6 3.8 4.5 g/cm³.
What are the size of the total moment values for these records? In order: 1.998 8.000 6.000 μB per formula unit.